Run i
{"formula": "AuC2", "functional": "PBE", "state": "optimized geometry", "lattice_angstrom": [[1.274, 3.488, -0.480], [-1.274, 3.488, -0.480], [0.000, 0.205, 9.107]], "species": ["C", "C", "Au", "C", "C", "Au"], "fractional_positions": [[0.452, 0.452, 0.346], [0.975, 0.975, 0.419], [0.368, 0.368, 0.118], [0.025, 0.025, 0.581], [0.548, 0.548, 0.654], [0.632, 0.632, 0.882]], "dos_ef_per_ev_fu": 1.23, "volume_a3_per_cell": 81.20}

---

Run ii
{"formula": "AuC2", "functional": "PBE", "state": "optimized geometry", "lattice_angstrom": [[-5.117, 0.818, -0.064], [1.856, -4.725, 1.046], [0.090, 0.853, 3.695]], "species": ["Au", "C", "Au", "C", "C", "C"], "fractional_positions": [[0.333, 0.667, 0.250], [0.000, 0.000, 0.000], [0.667, 0.333, 0.750], [0.000, 0.000, 0.500], [0.667, 0.333, 0.250], [0.333, 0.667, 0.750]], "dos_ef_per_ev_fu": 1.51, "volume_a3_per_cell": 88.24}

---

In order of decreasing stability: run i, run ii.

---

Run i
{"formula": "Pm3NdDy4", "functional": "PBE", "state": "optimized geometry", "lattice_angstrom": [[-1.867, 0.788, -2.986], [-2.187, -6.678, 3.984], [-8.394, 6.215, 2.533]], "species": ["Dy", "Pm", "Pm", "Dy", "Nd", "Dy", "Pm", "Dy"], "fractional_positions": [[0.000, 0.250, 0.251], [0.000, 0.500, 0.000], [0.500, 0.500, 0.500], [0.000, 0.750, 0.749], [0.500, 0.000, 0.000], [0.499, 0.750, 0.251], [0.000, 0.000, 0.500], [0.501, 0.250, 0.749]], "dos_ef_per_ev_fu": 11.49, "volume_a3_per_cell": 263.76}

---

Run ii
{"formula": "Pm3NdDy4", "functional": "PBE", "state": "optimized geometry", "lattice_angstrom": [[-0.036, -0.851, -6.256], [-3.422, -6.409, 0.891], [-10.214, 5.360, -0.671]], "species": ["Pm", "Dy", "Dy", "Dy", "Pm", "Dy", "Pm", "Dy", "Pm", "Dy", "Nd", "Dy", "Pm", "Dy", "Nd", "Pm"], "fractional_positions": [[0.482, 0.373, 0.250], [0.981, 0.122, 0.250], [0.148, 0.878, 0.500], [0.981, 0.122, 0.750], [0.147, 0.373, 0.500], [0.648, 0.122, 0.500], [0.982, 0.627, 0.250], [0.648, 0.122, 0.000], [0.482, 0.373, 0.750], [0.481, 0.878, 0.250], [0.647, 0.627, 0.500], [0.148, 0.878, 0.000], [0.647, 0.627, 0.000], [0.481, 0.878, 0.750], [0.147, 0.373, 0.000], [0.982, 0.627, 0.750]], "dos_ef_per_ev_fu": 14.42, "volume_a3_per_cell": 533.99}

---

In order of decreasing stability: run i, run ii.